1.
The following is a GGA-PBE calculation of an optimized crystal structure of TiMn2Rh2, from Alexandria.

```
TiMn2Rh2
1.0
7.116 0.000 0.000
0.000 7.116 0.000
0.000 0.000 2.671
Ti Mn Rh
2 4 4
Cartesian
0.000 0.000 0.000
3.558 3.558 0.000
0.815 2.743 0.000
2.743 6.302 0.000
4.373 0.815 0.000
6.302 4.373 0.000
1.278 4.836 1.335
2.281 1.278 1.335
4.836 5.839 1.335
5.839 2.281 1.335
```

Output
**Space-group type**: No. 127
**Fermi-level density of states**: 11.23 states/eV/cell
**DFT formation energy**: -0.103 eV/atom
**Crystal system**: tetragonal
**Total magnetic moment**: 0.0 μB/f.u.

2.
The following is a GGA-PBE calculation of an optimized crystal structure of Ti4MnRh3, from Alexandria.

```
Ti4MnRh3
1.0
2.995 0.000 0.000
0.000 2.995 0.000
0.000 0.000 12.922
Ti Mn Rh
4 1 3
Cartesian
0.000 0.000 1.437
0.000 0.000 4.773
0.000 0.000 8.149
0.000 0.000 11.485
1.497 1.497 0.000
1.497 1.497 3.111
1.497 1.497 6.461
1.497 1.497 9.811
```

Output
**Space-group type**: No. 123
**Fermi-level density of states**: 6.74 states/eV/cell
**DFT formation energy**: -0.670 eV/atom
**Crystal system**: tetragonal
**Total magnetic moment**: 0.0 μB/f.u.

3.
The following is a GGA-PBE calculation of an optimized crystal structure of TiMn2Rh2, from Alexandria.

```
TiMn2Rh2
1.0
-1.576 1.576 7.010
1.576 -1.576 7.010
1.576 1.576 -7.010
Ti Mn Rh
1 2 2
Cartesian
0.000 0.000 0.000
1.576 0.000 3.505
0.000 1.576 3.505
0.000 0.000 5.615
0.000 0.000 8.405
```

Output
**Space-group type**: No. 139
**Fermi-level density of states**: 6.76 states/eV/cell
**DFT formation energy**: -0.051 eV/atom
**Crystal system**: tetragonal
**Total magnetic moment**: 0.0 μB/f.u.

4.
The following is a GGA-PBE calculation of an optimized crystal structure of TiMn2Rh5, from Alexandria.

```
TiMn2Rh5
1.0
-1.964 1.964 7.312
1.964 -1.964 7.312
1.964 1.964 -7.312
Ti Mn Rh
1 2 5
Cartesian
0.000 0.000 0.000
0.000 0.000 3.661
0.000 0.000 10.963
1.964 0.000 1.905
1.964 0.000 5.407
0.000 0.000 7.312
0.000 1.964 1.905
0.000 1.964 5.407
```

Output
**Space-group type**: No. 139
**Fermi-level density of states**: 9.20 states/eV/cell
**DFT formation energy**: -0.339 eV/atom
**Crystal system**: tetragonal
**Total magnetic moment**: 6.6 μB/f.u.

5.
The following is a GGA-PBE calculation of an optimized crystal structure of Ti3MnRh2, from Alexandria.

```
Ti3MnRh2
1.0
3.063 0.000 0.000
0.000 3.063 0.000
0.000 0.000 9.164
Ti Mn Rh
3 1 2
Cartesian
0.000 0.000 0.000
0.000 0.000 3.171
0.000 0.000 5.993
1.532 1.532 4.582
1.532 1.532 1.536
1.532 1.532 7.627
```

Output
**Space-group type**: No. 123
**Fermi-level density of states**: 3.99 states/eV/cell
**DFT formation energy**: -0.652 eV/atom
**Crystal system**: tetragonal
**Total magnetic moment**: 0.0 μB/f.u.

6.
The following is a GGA-PBE calculation of an optimized crystal structure of Ti3MnRh, from Alexandria.

```
Ti3MnRh
1.0
6.076 0.000 0.000
0.000 6.076 0.000
0.000 0.000 6.076
Ti Mn Rh
9 3 3
Cartesian
0.000 0.000 0.000
1.594 1.594 1.594
1.594 1.594 4.482
1.594 4.482 1.594
1.594 4.482 4.482
4.482 1.594 1.594
4.482 1.594 4.482
4.482 4.482 1.594
4.482 4.482 4.482
0.000 3.038 3.038
3.038 0.000 3.038
3.038 3.038 0.000
0.000 0.000 3.038
0.000 3.038 0.000
3.038 0.000 0.000
```

Output
**Space-group type**: No. 221
**Fermi-level density of states**: 11.87 states/eV/cell
**DFT formation energy**: -0.352 eV/atom
**Crystal system**: cubic
**Total magnetic moment**: 0.8 μB/f.u.

7.
The following is a GGA-PBE calculation of an optimized crystal structure of TiMnRh2, from Alexandria.

```
TiMnRh2
1.0
0.000 3.074 3.074
3.074 0.000 3.074
3.074 3.074 0.000
Ti Mn Rh
1 1 2
Cartesian
0.000 0.000 0.000
3.074 3.074 3.074
1.537 1.537 1.537
4.612 4.612 4.612
```

Output
**Space-group type**: No. 225
**Fermi-level density of states**: 1.08 states/eV/cell
**DFT formation energy**: -0.573 eV/atom
**Crystal system**: cubic
**Total magnetic moment**: 4.8 μB/f.u.

8.
The following is a GGA-PBE calculation of an optimized crystal structure of Ti7MnRh2, from Alexandria.

```
Ti7MnRh2
1.0
0.000 4.434 4.434
4.434 0.000 4.434
4.434 4.434 0.000
Ti Mn Rh
7 1 2
Cartesian
0.000 0.000 0.000
4.434 4.434 2.260
4.434 2.260 4.434
6.608 4.434 4.434
2.260 4.434 4.434
4.434 6.608 4.434
4.434 4.434 6.608
4.434 4.434 4.434
2.217 2.217 2.217
6.651 6.651 6.651
```

Output
**Space-group type**: No. 225
**Fermi-level density of states**: 15.19 states/eV/cell
**DFT formation energy**: 0.561 eV/atom
**Crystal system**: cubic
**Total magnetic moment**: 0.0 μB/f.u.